# 1
Material: TbPr9Dy2
Method: DFT, PBE
State: optimized geometry

POSCAR file:
```
TbPr9Dy2
1.0
-4.562 -2.392 -0.653
2.169 -4.512 1.376
-3.603 2.809 14.891
Pr Dy Tb
9 2 1
Direct
0.500 0.000 0.167 Pr
0.500 0.500 0.000 Pr
0.500 0.500 0.334 Pr
0.500 0.000 0.500 Pr
0.000 0.500 0.167 Pr
0.500 0.500 0.666 Pr
0.500 0.000 0.833 Pr
0.000 0.500 0.500 Pr
0.000 0.500 0.833 Pr
0.000 0.000 0.667 Dy
0.000 0.000 0.333 Dy
0.000 0.000 0.000 Tb
```

Results
- symmetry = No. 123
- size of the total moment (μB per cell) = 0.000
- energy of formation (eV/atom) = 0.0145
- E (eV per atom) = -4.723



# 2
Material: TbPr12Dy7
Method: DFT, PBE
State: optimized geometry

POSCAR file:
```
TbPr12Dy7
1.0
-0.994 -5.308 -7.127
-6.412 -3.477 5.172
-4.438 7.151 -3.019
Dy Pr Tb
7 12 1
Direct
0.663 0.092 0.092 Dy
0.092 0.663 0.092 Dy
0.337 0.908 0.908 Dy
0.908 0.908 0.337 Dy
0.908 0.337 0.908 Dy
0.092 0.092 0.663 Dy
0.500 0.500 0.500 Dy
0.762 0.238 0.500 Pr
0.762 0.500 0.238 Pr
0.355 0.355 0.091 Pr
0.500 0.762 0.238 Pr
0.091 0.355 0.355 Pr
0.238 0.762 0.500 Pr
0.645 0.645 0.909 Pr
0.355 0.091 0.355 Pr
0.500 0.238 0.762 Pr
0.238 0.500 0.762 Pr
0.645 0.909 0.645 Pr
0.909 0.645 0.645 Pr
0.000 0.000 0.000 Tb
```

Results
- symmetry = No. 166
- size of the total moment (μB per cell) = 0.000
- energy of formation (eV/atom) = 0.0970
- E (eV per atom) = -4.613



# 3
Material: Tb5PrDy2
Method: DFT, PBE
State: optimized geometry

POSCAR file:
```
Tb5PrDy2
1.0
8.043 -3.725 0.000
-11.862 11.380 0.000
0.000 0.000 11.249
Tb Dy Pr
10 4 2
Direct
0.489 0.685 0.076 Tb
0.381 0.046 0.923 Tb
0.381 0.046 0.577 Tb
0.449 0.683 0.750 Tb
0.511 0.315 0.576 Tb
0.619 0.954 0.423 Tb
0.489 0.685 0.424 Tb
0.619 0.954 0.077 Tb
0.551 0.317 0.250 Tb
0.511 0.315 0.924 Tb
0.313 0.426 0.884 Dy
0.313 0.426 0.616 Dy
0.687 0.574 0.116 Dy
0.687 0.574 0.384 Dy
0.654 0.154 0.250 Pr
0.346 0.846 0.750 Pr
```

Results
- symmetry = No. 11
- size of the total moment (μB per cell) = 0.000
- energy of formation (eV/atom) = 0.1790
- E (eV per atom) = -4.463



# 4
Material: TbPr6Dy8
Method: DFT, PBE
State: optimized geometry

POSCAR file:
```
TbPr6Dy8
1.0
-8.332 0.508 -3.760
-5.631 -7.210 0.358
-7.251 0.096 4.935
Pr Dy Tb
6 8 1
Direct
0.770 0.462 0.868 Pr
0.899 0.770 0.868 Pr
0.101 0.230 0.132 Pr
0.538 0.101 0.132 Pr
0.230 0.538 0.132 Pr
0.462 0.899 0.868 Pr
0.751 0.716 0.421 Dy
0.577 0.577 0.270 Dy
0.284 0.887 0.579 Dy
0.113 0.751 0.421 Dy
0.249 0.284 0.579 Dy
0.423 0.423 0.730 Dy
0.716 0.113 0.421 Dy
0.887 0.249 0.579 Dy
0.000 0.000 0.000 Tb
```

Results
- symmetry = No. 148
- size of the total moment (μB per cell) = 0.000
- energy of formation (eV/atom) = 0.1186
- E (eV per atom) = -4.556



The highest E belongs to which entry? Tb5PrDy2



Copy entry 4 word for word.
Material: TbPr6Dy8
Method: DFT, PBE
State: optimized geometry

POSCAR file:
```
TbPr6Dy8
1.0
-8.332 0.508 -3.760
-5.631 -7.210 0.358
-7.251 0.096 4.935
Pr Dy Tb
6 8 1
Direct
0.770 0.462 0.868 Pr
0.899 0.770 0.868 Pr
0.101 0.230 0.132 Pr
0.538 0.101 0.132 Pr
0.230 0.538 0.132 Pr
0.462 0.899 0.868 Pr
0.751 0.716 0.421 Dy
0.577 0.577 0.270 Dy
0.284 0.887 0.579 Dy
0.113 0.751 0.421 Dy
0.249 0.284 0.579 Dy
0.423 0.423 0.730 Dy
0.716 0.113 0.421 Dy
0.887 0.249 0.579 Dy
0.000 0.000 0.000 Tb
```

Results
- symmetry = No. 148
- size of the total moment (μB per cell) = 0.000
- energy of formation (eV/atom) = 0.1186
- E (eV per atom) = -4.556